# 1
The following is a PBE calculation of crystalline BC2 at its relaxed geometry, from Alexandria via LeMat-Bulk.

Cell: 2.550 2.550 13.529 Å, 90.00 90.00 120.00°
Fractional coordinates of all 12 atoms:
B1 0.667 0.333 0.851
B2 0.333 0.667 0.644
B3 0.667 0.333 0.725
B4 0.000 0.000 0.478
C1 0.000 0.000 0.903
C2 0.667 0.333 0.321
C3 0.000 0.000 0.358
C4 0.333 0.667 0.529
C5 0.333 0.667 0.168
C6 0.667 0.333 0.205
C7 0.000 0.000 0.014
C8 0.333 0.667 0.053

E_form	0.348	eV/atom
total moment	0.0	μB/cell
V	6.348	Å³/atom
relative energy among the computed polymorphs	108	meV per atom

***

# 2
The following is a PBE calculation of crystalline Pa2NiOs at its relaxed geometry, from Alexandria via LeMat-Bulk.

Cell: 4.153 5.685 7.290 Å, 108.40 90.00 90.00°
Fractional coordinates of all 8 atoms:
Pa1 0.750 0.225 0.431
Pa2 0.250 0.775 0.569
Pa3 0.250 0.780 0.068
Pa4 0.750 0.220 0.932
Ni1 0.250 0.316 0.202
Ni2 0.750 0.684 0.798
Os1 0.750 0.687 0.292
Os2 0.250 0.313 0.708

E_form	-0.384	eV/atom
total moment	0.0	μB/cell
V	20.417	Å³/atom

***

# 3
The following is a PBE calculation of crystalline Ca2PmAu at its relaxed geometry, from Alexandria via LeMat-Bulk.

Cell: 3.588 3.588 9.604 Å, 90.00 90.00 90.00°
Fractional coordinates of all 4 atoms:
Ca1 0.000 0.000 0.810
Ca2 0.000 0.000 0.190
Au1 0.500 0.500 0.000
Pm1 0.500 0.500 0.500

E_form	-0.338	eV/atom
total moment	0.0	μB/cell
V	30.907	Å³/atom
relative energy among the computed polymorphs	52	meV per atom

***

# 4
The following is a PBE calculation of crystalline Te2MoAs at its relaxed geometry, from Alexandria via LeMat-Bulk.

Cell: 7.054 7.054 7.054 Å, 152.95 140.36 48.65°
Fractional coordinates of all 4 atoms:
Mo1 0.243 0.743 0.500
Te1 0.071 0.071 0.000
Te2 0.782 0.282 0.500
As1 0.404 0.404 0.000

formation energy without anion corrections	24	kJ/mol of atoms
total moment	0.0	μB/cell
V	25.362	Å³/atom

***

# 5
The following is a PBE calculation of crystalline MgSc2WC at its relaxed geometry, from Alexandria via LeMat-Bulk.

Cell: 4.586 4.586 4.164 Å, 90.00 90.00 90.00°
Fractional coordinates of all 5 atoms:
Sc1 0.000 0.500 0.000
Sc2 0.500 0.000 0.000
Mg1 0.500 0.500 0.500
C1 0.000 0.000 0.000
W1 0.000 0.000 0.500

E_form	-0.132	eV/atom
total moment	0.2	μB/cell
V	17.516	Å³/atom

***

# 6
The following is a PBE calculation of crystalline Ta2CdNi at its relaxed geometry, from Alexandria via LeMat-Bulk.

Cell: 5.104 5.104 5.104 Å, 133.99 133.99 67.10°
Fractional coordinates of all 4 atoms:
Cd1 0.500 0.500 0.000
Ni1 0.750 0.250 0.500
Ta1 0.000 0.000 0.000
Ta2 0.250 0.750 0.500

E_form	0.341	eV/atom
total moment	0.7	μB/cell
V	16.925	Å³/atom

***

# 7
The following is a PBE calculation of crystalline Li3BeS2 at its relaxed geometry, from Alexandria via LeMat-Bulk.

Cell: 5.535 6.219 6.849 Å, 117.00 113.83 90.00°
Fractional coordinates of all 12 atoms:
Li1 0.500 0.250 0.000
Li2 0.500 0.750 0.000
Li3 0.766 0.016 0.532
Li4 0.234 0.484 0.468
Li5 0.234 0.984 0.468
Li6 0.766 0.516 0.532
Be1 0.000 0.500 0.000
Be2 0.000 0.000 0.000
S1 0.612 0.372 0.745
S2 0.867 0.128 0.255
S3 0.133 0.872 0.745
S4 0.388 0.628 0.255

formation energy without anion corrections	-78	kJ/mol of atoms
total moment	1.1	μB/cell
V	15.604	Å³/atom

***

# 8
The following is a PBE calculation of crystalline La2RuRhO6 at its relaxed geometry, from Alexandria via LeMat-Bulk.

Cell: 5.737 5.779 7.981 Å, 90.00 90.00 90.00°
Fractional coordinates of all 20 atoms:
La1 0.500 0.789 0.225
La2 0.000 0.211 0.725
La3 0.500 0.789 0.775
La4 0.000 0.211 0.275
Ru1 0.500 0.259 0.500
Ru2 0.000 0.741 0.000
Rh1 0.000 0.728 0.500
Rh2 0.500 0.272 0.000
O1 0.500 0.210 0.252
O2 0.500 0.210 0.748
O3 0.000 0.790 0.248
O4 0.000 0.790 0.752
O5 0.239 0.001 0.500
O6 0.761 0.001 0.500
O7 0.211 0.445 0.500
O8 0.789 0.445 0.500
O9 0.711 0.555 0.000
O10 0.289 0.555 0.000
O11 0.261 0.999 0.000
O12 0.739 0.999 0.000

formation energy without anion corrections	-187	kJ/mol of atoms
total moment	2.3	μB/cell
V	13.229	Å³/atom

***

# 9
The following is a PBE calculation of crystalline Sc2Co2Si at its relaxed geometry, from Alexandria via LeMat-Bulk.

Cell: 5.089 5.089 7.028 Å, 78.39 78.39 59.45°
Fractional coordinates of all 10 atoms:
Sc1 0.496 0.207 0.148
Sc2 0.793 0.504 0.352
Sc3 0.504 0.793 0.852
Sc4 0.207 0.496 0.648
Co1 0.728 0.005 0.502
Co2 0.995 0.272 0.998
Co3 0.272 0.995 0.498
Co4 0.005 0.728 0.002
Si1 0.135 0.865 0.250
Si2 0.865 0.135 0.750

formation energy without anion corrections	-59	kJ/mol of atoms
total moment	0.0	μB/cell
V	15.249	Å³/atom
relative energy among the computed polymorphs	0	meV per atom

***

# 10
The following is a PBE calculation of crystalline HoTlAg4 at its relaxed geometry, from Alexandria via LeMat-Bulk.

Cell: 5.622 5.622 5.622 Å, 60.00 60.00 60.00°
Fractional coordinates of all 6 atoms:
Tl1 0.000 0.000 0.000
Ho1 0.250 0.250 0.250
Ag1 0.625 0.625 0.126
Ag2 0.625 0.126 0.625
Ag3 0.625 0.625 0.625
Ag4 0.126 0.625 0.625

E_form	-0.157	eV/atom
total moment	0.0	μB/cell
V	20.942	Å³/atom

***

# 11
The following is a PBE calculation of crystalline Li7Mg3Au4 at its relaxed geometry, from Alexandria via LeMat-Bulk.

Cell: 3.199 9.066 9.431 Å, 75.28 80.24 79.84°
Fractional coordinates of all 14 atoms:
Li1 0.321 0.839 0.518
Li2 0.493 0.257 0.757
Li3 0.828 0.404 0.939
Li4 0.679 0.161 0.482
Li5 0.172 0.596 0.061
Li6 0.000 0.000 0.000
Li7 0.507 0.743 0.243
Mg1 0.299 0.215 0.187
Mg2 0.701 0.785 0.813
Mg3 0.000 0.500 0.500
Au1 0.647 0.436 0.270
Au2 0.353 0.564 0.730
Au3 0.874 0.962 0.290
Au4 0.126 0.038 0.710

E_form	-0.379	eV/atom
total moment	0.0	μB/cell
V	18.441	Å³/atom

***

# 12
The following is a PBE calculation of crystalline CsFePbCl2 at its relaxed geometry, from Alexandria via LeMat-Bulk.

Cell: 6.165 6.165 6.745 Å, 90.00 90.00 90.00°
Fractional coordinates of all 5 atoms:
Pb1 0.000 0.000 0.500
Cs1 0.000 0.000 0.000
Fe1 0.500 0.500 0.500
Cl1 0.000 0.500 0.000
Cl2 0.500 0.000 0.000

formation energy without anion corrections	59	kJ/mol of atoms
total moment	3.0	μB/cell
V	51.282	Å³/atom

***

# 13
The following is a PBE calculation of crystalline BeCu2P at its relaxed geometry, from Alexandria via LeMat-Bulk.

Cell: 3.915 2.759 4.763 Å, 107.38 90.00 90.00°
Fractional coordinates of all 4 atoms:
P1 0.500 0.250 0.250
Cu1 0.000 0.121 0.974
Cu2 0.000 0.379 0.526
Be1 0.500 0.750 0.750

E_form	0.105	eV/atom
total moment	0.0	μB/cell
V	12.277	Å³/atom
relative energy among the computed polymorphs	64	meV per atom

***

# 14
The following is a PBE calculation of crystalline FeSi2Ru at its relaxed geometry, from Alexandria via LeMat-Bulk.

Cell: 3.066 3.066 5.294 Å, 90.00 90.00 90.00°
Fractional coordinates of all 4 atoms:
Fe1 0.000 0.000 0.440
Ru1 0.500 0.500 0.788
Si1 0.000 0.000 0.996
Si2 0.500 0.500 0.275

formation energy without anion corrections	-38	kJ/mol of atoms
total moment	1.3	μB/cell
V	12.440	Å³/atom

***

# 15
The following is a PBE calculation of crystalline CaMnCl2 at its relaxed geometry, from Alexandria via LeMat-Bulk.

Cell: 10.817 10.817 10.817 Å, 20.78 20.78 20.78°
Fractional coordinates of all 4 atoms:
Ca1 0.750 0.750 0.750
Mn1 0.250 0.250 0.250
Cl1 0.036 0.036 0.036
Cl2 0.464 0.464 0.464

formation energy without anion corrections	-96	kJ/mol of atoms
total moment	5.0	μB/cell
V	34.862	Å³/atom
relative energy among the computed polymorphs	2	meV per atom

***

# 16
The following is a PBE calculation of crystalline TcGe2Au at its relaxed geometry, from Alexandria via LeMat-Bulk.

Cell: 3.041 3.041 8.965 Å, 80.23 80.23 60.00°
Fractional coordinates of all 4 atoms:
Ge1 0.096 0.096 0.713
Ge2 0.904 0.904 0.287
Au1 0.000 0.000 0.000
Tc1 0.500 0.500 0.500

E_form	-0.050	eV/atom
total moment	0.0	μB/cell
V	17.604	Å³/atom
relative energy among the computed polymorphs	0	meV per atom

***

# 17
The following is a PBE calculation of crystalline Pm2SeS at its relaxed geometry, from Alexandria via LeMat-Bulk.

Cell: 4.027 4.027 7.457 Å, 74.33 74.33 60.00°
Fractional coordinates of all 4 atoms:
Pm1 0.074 0.074 0.777
Pm2 0.259 0.259 0.224
Se1 0.499 0.499 0.503
S1 0.668 0.668 0.996

formation energy without anion corrections	-187	kJ/mol of atoms
total moment	0.0	μB/cell
V	24.878	Å³/atom
relative energy among the computed polymorphs	12	meV per atom

***

# 18
The following is a PBE calculation of crystalline LiErPb at its relaxed geometry, from Alexandria via LeMat-Bulk.

Cell: 4.957 4.957 4.957 Å, 60.00 60.00 60.00°
Fractional coordinates of all 3 atoms:
Pb1 0.250 0.250 0.250
Li1 0.000 0.000 0.000
Er1 0.500 0.500 0.500

E_form	-0.295	eV/atom
total moment	0.0	μB/cell
V	28.716	Å³/atom

***

# 19
The following is a PBE calculation of crystalline YEr at its relaxed geometry, from Alexandria via LeMat-Bulk.

Cell: 3.998 3.998 3.998 Å, 90.00 90.00 90.00°
Fractional coordinates of all 2 atoms:
Y1 0.500 0.500 0.500
Er1 0.000 0.000 0.000

E_form	0.132	eV/atom
total moment	0.0	μB/cell
V	31.957	Å³/atom
relative energy among the computed polymorphs	127	meV per atom

***

# 20
The following is a PBE calculation of crystalline Sr2SnHgH at its relaxed geometry, from Alexandria via LeMat-Bulk.

Cell: 5.543 5.543 4.335 Å, 90.00 90.00 90.00°
Fractional coordinates of all 5 atoms:
Sr1 0.000 0.500 0.000
Sr2 0.500 0.000 0.000
Hg1 0.500 0.500 0.500
H1 0.000 0.000 0.000
Sn1 0.000 0.000 0.500

total moment	0.0	μB/cell
V	26.635	Å³/atom
relative energy among the computed polymorphs	17	meV per atom

***

# 21
The following is a PBE calculation of crystalline ReW2I at its relaxed geometry, from Alexandria via LeMat-Bulk.

Cell: 4.605 4.605 4.605 Å, 60.00 60.00 60.00°
Fractional coordinates of all 4 atoms:
I1 0.000 0.000 0.000
Re1 0.500 0.500 0.500
W1 0.250 0.250 0.250
W2 0.750 0.750 0.750

formation energy without anion corrections	121	kJ/mol of atoms
total moment	0.0	μB/cell
V	17.268	Å³/atom
relative energy among the computed polymorphs	0	meV per atom

***

# 22
The following is a PBE calculation of crystalline MgZnSe2 at its relaxed geometry, from Alexandria via LeMat-Bulk.

Cell: 7.184 8.315 6.773 Å, 90.00 90.00 90.00°
Fractional coordinates of all 16 atoms:
Zn1 0.081 0.375 0.000
Zn2 0.919 0.625 0.500
Zn3 0.419 0.875 0.500
Zn4 0.581 0.125 0.000
Mg1 0.087 0.876 0.001
Mg2 0.913 0.124 0.501
Mg3 0.413 0.376 0.501
Mg4 0.587 0.624 0.001
Se1 0.425 0.881 0.132
Se2 0.575 0.119 0.632
Se3 0.075 0.381 0.632
Se4 0.925 0.619 0.132
Se5 0.090 0.868 0.617
Se6 0.910 0.132 0.117
Se7 0.410 0.368 0.117
Se8 0.590 0.632 0.617

formation energy without anion corrections	-94	kJ/mol of atoms
total moment	0.0	μB/cell
V	25.288	Å³/atom

***

# 23
The following is a PBE calculation of crystalline ZnSe3 at its relaxed geometry, from Alexandria via LeMat-Bulk.

Cell: 7.752 2.717 5.775 Å, 62.42 90.00 90.00°
Fractional coordinates of all 4 atoms:
Se1 0.000 0.017 0.986
Se2 0.500 0.750 0.750
Se3 0.000 0.483 0.514
Zn1 0.500 0.250 0.250

formation energy without anion corrections	18	kJ/mol of atoms
total moment	0.0	μB/cell
V	26.951	Å³/atom

***

# 24
The following is a PBE calculation of crystalline Sc2CrIr at its relaxed geometry, from Alexandria via LeMat-Bulk.

Cell: 8.855 8.855 8.855 Å, 19.80 19.80 19.80°
Fractional coordinates of all 4 atoms:
Cr1 0.250 0.250 0.250
Ir1 0.750 0.750 0.750
Sc1 0.001 0.001 0.001
Sc2 0.499 0.499 0.499

E_form	0.013	eV/atom
total moment	2.1	μB/cell
V	17.418	Å³/atom

***

# 25
The following is a PBE calculation of crystalline ZrBi3W at its relaxed geometry, from Alexandria via LeMat-Bulk.

Cell: 5.406 5.406 5.406 Å, 90.00 90.00 90.00°
Fractional coordinates of all 5 atoms:
Zr1 0.500 0.500 0.500
Bi1 0.000 0.500 0.000
Bi2 0.000 0.000 0.500
Bi3 0.500 0.000 0.000
W1 0.000 0.000 0.000

E_form	1.128	eV/atom
total moment	2.3	μB/cell
V	31.600	Å³/atom
relative energy among the computed polymorphs	0	meV per atom

***

# 26
The following is a PBE calculation of crystalline TbCe2AlC at its relaxed geometry, from Alexandria via LeMat-Bulk.

Cell: 4.964 4.901 4.901 Å, 90.00 90.00 90.00°
Fractional coordinates of all 5 atoms:
Tb1 0.500 0.000 0.000
Ce1 0.000 0.000 0.500
Ce2 0.000 0.500 0.000
Al1 0.500 0.500 0.500
C1 0.000 0.000 0.000

E_form	-0.256	eV/atom
total moment	0.8	μB/cell
V	23.848	Å³/atom